Entry 1:
First-principles (PBE) data for an optimized crystal structure of AlCdFe2, as listed in the Open Quantum Materials Database.

Unit cell a=4.2407 b=4.2407 c=4.2407 alpha=60.00 beta=60.00 gamma=60.00
Element x y z (fractional)
Al (0.0000, 0.0000, 0.0000)
Cd (0.2500, 0.2500, 0.2500)
Fe (0.5000, 0.5000, 0.5000)
Fe (0.7500, 0.7500, 0.7500)

## Properties
Uncorrected energy, eV per atom: -5.122

Entry 2:
First-principles (PBE) data for an optimized crystal structure of Fe3Au, as listed in the Open Quantum Materials Database.

Unit cell a=5.3511 b=5.3511 c=4.2692 alpha=90.00 beta=90.00 gamma=120.00
Element x y z (fractional)
Fe (0.1550, 0.3101, 0.2500)
Fe (0.1550, 0.8450, 0.2500)
Fe (0.3101, 0.1550, 0.7500)
Fe (0.6899, 0.8450, 0.2500)
Fe (0.8450, 0.1550, 0.7500)
Fe (0.8450, 0.6899, 0.7500)
Au (0.3333, 0.6667, 0.7500)
Au (0.6667, 0.3333, 0.2500)

## Properties
Calculated formation energy, eV/atom: 0.15

Entry 3:
First-principles (PBE) data for an optimized crystal structure of Ba2ReAgS6, as listed in the Open Quantum Materials Database.

Unit cell a=6.9641 b=6.9641 c=6.9641 alpha=60.00 beta=60.00 gamma=60.00
Element x y z (fractional)
Ba (0.2500, 0.2500, 0.2500)
Ba (0.7500, 0.7500, 0.7500)
Re (0.0000, 0.0000, 0.0000)
Ag (0.5000, 0.5000, 0.5000)
S (0.2398, 0.2398, 0.7602)
S (0.2398, 0.7602, 0.2398)
S (0.2398, 0.7602, 0.7602)
S (0.7602, 0.2398, 0.2398)
S (0.7602, 0.2398, 0.7602)
S (0.7602, 0.7602, 0.2398)

## Properties
Uncorrected energy, eV per atom: -5.126

Entry 4:
First-principles (PBE) data for an optimized crystal structure of ZrCdPt, as listed in the Open Quantum Materials Database.

Unit cell a=4.5952 b=4.5952 c=4.5952 alpha=60.00 beta=60.00 gamma=60.00
Element x y z (fractional)
Zr (0.0000, 0.0000, 0.0000)
Cd (0.7500, 0.7500, 0.7500)
Pt (0.2500, 0.2500, 0.2500)

## Properties
Calculated formation energy, eV/atom: -0.09

Entry 5:
First-principles (PBE) data for an optimized crystal structure of KDyAu, as listed in the Open Quantum Materials Database.

Unit cell a=5.0332 b=5.0332 c=5.0332 alpha=60.00 beta=60.00 gamma=60.00
Element x y z (fractional)
K (0.0000, 0.0000, 0.0000)
Dy (0.2500, 0.2500, 0.2500)
Au (0.7500, 0.7500, 0.7500)

## Properties
Uncorrected energy, eV per atom: -2.314

Entry 6:
First-principles (PBE) data for an optimized crystal structure of HfScCuSi, as listed in the Open Quantum Materials Database.

Unit cell a=4.5899 b=4.5899 c=4.5899 alpha=60.00 beta=60.00 gamma=60.00
Element x y z (fractional)
Hf (0.0000, 0.0000, 0.0000)
Sc (0.7500, 0.7500, 0.7500)
Cu (0.5000, 0.5000, 0.5000)
Si (0.2500, 0.2500, 0.2500)

## Properties
Energy above the lowest structure with this stoichiometry, meV per atom: 0

Entry 7:
First-principles (PBE) data for an optimized crystal structure of Y2HoPd2PtPb3, as listed in the Open Quantum Materials Database.

Unit cell a=3.9310 b=7.7867 c=7.7867 alpha=119.87 beta=90.00 gamma=90.00
Element x y z (fractional)
Y (0.0000, 0.1989, 0.8011)
Y (0.0000, 0.8011, 0.1989)
Ho (0.0000, 0.4033, 0.4033)
Pd (0.5000, 0.1367, 0.4675)
Pd (0.5000, 0.4675, 0.1367)
Pt (0.0000, 0.7997, 0.7997)
Pb (0.5000, 0.0690, 0.0690)
Pb (0.5000, 0.5328, 0.8014)
Pb (0.5000, 0.8014, 0.5328)

## Properties
Uncorrected energy, eV per atom: -5.754

Entry 8:
First-principles (PBE) data for an optimized crystal structure of CsCuMoSe3, as listed in the Open Quantum Materials Database.

Unit cell a=8.3020 b=8.3020 c=9.9568 alpha=90.00 beta=90.00 gamma=152.84
Element x y z (fractional)
Cs (0.2475, 0.7525, 0.7500)
Cs (0.7525, 0.2475, 0.2500)
Cu (0.4715, 0.5285, 0.2500)
Cu (0.5285, 0.4715, 0.7500)
Mo (0.0000, 0.0000, 0.0000)
Mo (0.0000, 0.0000, 0.5000)
Se (0.0625, 0.9375, 0.2500)
Se (0.3936, 0.6064, 0.0458)
Se (0.3936, 0.6064, 0.4542)
Se (0.6064, 0.3936, 0.5458)
Se (0.6064, 0.3936, 0.9542)
Se (0.9375, 0.0625, 0.7500)

## Properties
Uncorrected energy, eV per atom: -4.825

Entry 9:
First-principles (PBE) data for an optimized crystal structure of UZn20Ir2, as listed in the Open Quantum Materials Database.

Unit cell a=10.0344 b=10.0344 c=10.0344 alpha=60.00 beta=60.00 gamma=60.00
Element x y z (fractional)
U (0.1250, 0.1250, 0.1250)
U (0.8750, 0.8750, 0.8750)
Zn (0.0000, 0.0000, 0.0000)
Zn (0.0000, 0.0000, 0.5000)
Zn (0.0000, 0.5000, 0.0000)
Zn (0.0566, 0.3214, 0.3214)
Zn (0.0566, 0.3214, 0.8006)
Zn (0.0566, 0.8006, 0.3214)
Zn (0.1994, 0.6786, 0.6786)
Zn (0.1994, 0.6786, 0.9434)
Zn (0.1994, 0.9434, 0.6786)
Zn (0.2360, 0.2360, 0.5140)
Zn (0.2360, 0.5140, 0.2360)
Zn (0.2360, 0.5140, 0.5140)
Zn (0.3214, 0.0566, 0.3214)
Zn (0.3214, 0.0566, 0.8006)
Zn (0.3214, 0.3214, 0.0566)
Zn (0.3214, 0.3214, 0.8006)
Zn (0.3214, 0.8006, 0.0566)
Zn (0.3214, 0.8006, 0.3214)
Zn (0.4860, 0.4860, 0.7640)
Zn (0.4860, 0.7640, 0.4860)
Zn (0.4860, 0.7640, 0.7640)
Zn (0.5000, 0.0000, 0.0000)
Zn (0.5140, 0.2360, 0.2360)
Zn (0.5140, 0.2360, 0.5140)
Zn (0.5140, 0.5140, 0.2360)
Zn (0.6786, 0.1994, 0.6786)
Zn (0.6786, 0.1994, 0.9434)
Zn (0.6786, 0.6786, 0.1994)
Zn (0.6786, 0.6786, 0.9434)
Zn (0.6786, 0.9434, 0.1994)
Zn (0.6786, 0.9434, 0.6786)
Zn (0.7640, 0.4860, 0.4860)
Zn (0.7640, 0.4860, 0.7640)
Zn (0.7640, 0.7640, 0.4860)
Zn (0.8006, 0.0566, 0.3214)
Zn (0.8006, 0.3214, 0.0566)
Zn (0.8006, 0.3214, 0.3214)
Zn (0.9434, 0.1994, 0.6786)
Zn (0.9434, 0.6786, 0.1994)
Zn (0.9434, 0.6786, 0.6786)
Ir (0.0000, 0.5000, 0.5000)
Ir (0.5000, 0.0000, 0.5000)
Ir (0.5000, 0.5000, 0.0000)
Ir (0.5000, 0.5000, 0.5000)

## Properties
Calculated formation energy, eV/atom: -0.15

Entry 10:
First-principles (PBE) data for an optimized crystal structure of NpB, as listed in the Open Quantum Materials Database.

Unit cell a=3.6368 b=3.6368 c=5.6332 alpha=90.00 beta=90.00 gamma=120.00
Element x y z (fractional)
Np (0.0000, 0.0000, 0.0000)
Np (0.0000, 0.0000, 0.5000)
B (0.3333, 0.6667, 0.2500)
B (0.6667, 0.3333, 0.7500)

## Properties
Energy above the lowest structure with this stoichiometry, meV per atom: 274

Entry 11:
First-principles (PBE) data for an optimized crystal structure of HoHgSbTe3, as listed in the Open Quantum Materials Database.

Unit cell a=8.2140 b=8.2140 c=12.2954 alpha=90.00 beta=90.00 gamma=149.58
Element x y z (fractional)
Ho (0.0000, 0.0000, 0.0000)
Ho (0.0000, 0.0000, 0.5000)
Hg (0.2725, 0.7275, 0.7500)
Hg (0.7275, 0.2725, 0.2500)
Sb (0.3752, 0.6248, 0.2500)
Sb (0.6248, 0.3752, 0.7500)
Te (0.0058, 0.9942, 0.2500)
Te (0.3635, 0.6365, 0.0010)
Te (0.3635, 0.6365, 0.4990)
Te (0.6365, 0.3635, 0.5010)
Te (0.6365, 0.3635, 0.9990)
Te (0.9942, 0.0058, 0.7500)

## Properties
Uncorrected energy, eV per atom: -3.603

Entry 12:
First-principles (PBE) data for an optimized crystal structure of TmSiAg, as listed in the Open Quantum Materials Database.

Unit cell a=7.5417 b=7.5417 c=3.8020 alpha=90.00 beta=90.00 gamma=120.00
Element x y z (fractional)
Tm (0.0000, 0.2742, 0.0000)
Tm (0.2742, 0.0000, 0.0000)
Tm (0.7258, 0.7258, 0.0000)
Si (0.0000, 0.0000, 0.5000)
Si (0.3333, 0.6667, 0.0000)
Si (0.6667, 0.3333, 0.0000)
Ag (0.0000, 0.6151, 0.5000)
Ag (0.3849, 0.3849, 0.5000)
Ag (0.6151, 0.0000, 0.5000)

## Properties
Uncorrected energy, eV per atom: -4.456

Entry 13:
First-principles (PBE) data for an optimized crystal structure of TmZn2, as listed in the Open Quantum Materials Database.

Unit cell a=5.3948 b=5.3948 c=5.3948 alpha=60.00 beta=60.00 gamma=60.00
Element x y z (fractional)
Tm (0.1250, 0.1250, 0.1250)
Tm (0.8750, 0.8750, 0.8750)
Zn (0.0000, 0.5000, 0.5000)
Zn (0.5000, 0.0000, 0.5000)
Zn (0.5000, 0.5000, 0.0000)
Zn (0.5000, 0.5000, 0.5000)

## Properties
Calculated formation energy, eV/atom: -0.34

Entry 14:
First-principles (PBE) data for an optimized crystal structure of NaAg3GeS4, as listed in the Open Quantum Materials Database.

Unit cell a=6.2786 b=6.2786 c=6.2786 alpha=90.00 beta=90.00 gamma=90.00
Element x y z (fractional)
Na (0.0000, 0.0000, 0.0000)
Ag (0.0000, 0.5000, 0.5000)
Ag (0.5000, 0.0000, 0.5000)
Ag (0.5000, 0.5000, 0.0000)
Ge (0.5000, 0.5000, 0.5000)
S (0.2911, 0.2911, 0.2911)
S (0.2911, 0.7089, 0.7089)
S (0.7089, 0.2911, 0.7089)
S (0.7089, 0.7089, 0.2911)

## Properties
Energy above the lowest structure with this stoichiometry, meV per atom: 75

Entry 15:
First-principles (PBE) data for an optimized crystal structure of Nd2SbS2F, as listed in the Open Quantum Materials Database.

Unit cell a=3.9375 b=3.9375 c=8.7868 alpha=90.00 beta=90.00 gamma=90.00
Element x y z (fractional)
Nd (0.0000, 0.5000, 0.2030)
Nd (0.5000, 0.0000, 0.7970)
Sb (0.0000, 0.0000, 0.5000)
S (0.0000, 0.5000, 0.8702)
S (0.5000, 0.0000, 0.1298)
F (0.5000, 0.5000, 0.5000)

## Properties
Uncorrected energy, eV per atom: -5.692

Entry 16:
First-principles (PBE) data for an optimized crystal structure of PrNd2Al2Co4, as listed in the Open Quantum Materials Database.

Unit cell a=5.5037 b=5.5037 c=8.3196 alpha=98.63 beta=98.63 gamma=43.49
Element x y z (fractional)
Pr (0.0000, 0.0000, 0.0000)
Nd (0.3725, 0.3725, 0.6233)
Nd (0.6275, 0.6275, 0.3767)
Al (0.3255, 0.3255, 0.2211)
Al (0.6745, 0.6745, 0.7789)
Co (0.0809, 0.0809, 0.6286)
Co (0.2600, 0.2600, 0.9199)
Co (0.7400, 0.7400, 0.0801)
Co (0.9191, 0.9191, 0.3714)

## Properties
Uncorrected energy, eV per atom: -5.839

Entry 17:
First-principles (PBE) data for an optimized crystal structure of Nd2Sc2CI2Br3, as listed in the Open Quantum Materials Database.

Unit cell a=9.3965 b=9.3965 c=8.1680 alpha=102.24 beta=102.24 gamma=23.60
Element x y z (fractional)
Nd (0.1379, 0.1379, 0.0752)
Nd (0.8621, 0.8621, 0.9248)
Sc (0.4989, 0.4989, 0.1843)
Sc (0.5011, 0.5011, 0.8157)
C (0.0000, 0.0000, 0.0000)
I (0.3343, 0.3343, 0.2081)
I (0.6657, 0.6657, 0.7919)
Br (0.0000, 0.0000, 0.5000)
Br (0.3529, 0.3529, 0.6515)
Br (0.6471, 0.6471, 0.3485)

## Properties
Energy above the lowest structure with this stoichiometry, meV per atom: 65

Entry 18:
First-principles (PBE) data for an optimized crystal structure of ScHgTe2, as listed in the Open Quantum Materials Database.

Unit cell a=5.2693 b=5.2693 c=5.2693 alpha=60.00 beta=60.00 gamma=60.00
Element x y z (fractional)
Sc (0.0000, 0.0000, 0.0000)
Hg (0.2500, 0.2500, 0.2500)
Te (0.5000, 0.5000, 0.5000)
Te (0.7500, 0.7500, 0.7500)

## Properties
Uncorrected energy, eV per atom: -3.398

Entry 19:
First-principles (PBE) data for an optimized crystal structure of Tb2HoCu4Sn2Ge2, as listed in the Open Quantum Materials Database.

Unit cell a=8.2636 b=8.2636 c=8.2636 alpha=149.77 beta=130.50 gamma=59.10
Element x y z (fractional)
Tb (0.1359, 0.1359, 0.0000)
Tb (0.8641, 0.8641, 0.0000)
Ho (0.5000, 0.0000, 0.5000)
Cu (0.1366, 0.3238, 0.8128)
Cu (0.4890, 0.6762, 0.8128)
Cu (0.5110, 0.3238, 0.1872)
Cu (0.8634, 0.6762, 0.1872)
Sn (0.2026, 0.5000, 0.7026)
Sn (0.7974, 0.5000, 0.2974)
Ge (0.2841, 0.7841, 0.5000)
Ge (0.7159, 0.2159, 0.5000)

## Properties
Energy above the lowest structure with this stoichiometry, meV per atom: 65

Entry 20:
First-principles (PBE) data for an optimized crystal structure of LaMgNiB, as listed in the Open Quantum Materials Database.

Unit cell a=4.6344 b=4.6344 c=4.6344 alpha=60.00 beta=60.00 gamma=60.00
Element x y z (fractional)
La (0.0000, 0.0000, 0.0000)
Mg (0.5000, 0.5000, 0.5000)
Ni (0.7500, 0.7500, 0.7500)
B (0.2500, 0.2500, 0.2500)

## Properties
Energy above the lowest structure with this stoichiometry, meV per atom: 0

Entry 21:
First-principles (PBE) data for an optimized crystal structure of YZnCoW, as listed in the Open Quantum Materials Database.

Unit cell a=4.5847 b=4.5847 c=4.5847 alpha=60.00 beta=60.00 gamma=60.00
Element x y z (fractional)
Y (0.0000, 0.0000, 0.0000)
Zn (0.5000, 0.5000, 0.5000)
Co (0.7500, 0.7500, 0.7500)
W (0.2500, 0.2500, 0.2500)

## Properties
Calculated formation energy, eV/atom: 0.65
Energy above the lowest structure with this stoichiometry, meV per atom: 82

Entry 22:
First-principles (PBE) data for an optimized crystal structure of BaNi2Sb4, as listed in the Open Quantum Materials Database.

Unit cell a=6.4235 b=6.4235 c=6.4235 alpha=119.98 beta=108.72 gamma=100.33
Element x y z (fractional)
Ba (0.0000, 0.0000, 0.0000)
Ni (0.5000, 0.2093, 0.7093)
Ni (0.5000, 0.7907, 0.2907)
Sb (0.2495, 0.7495, 0.5000)
Sb (0.2784, 0.5000, 0.7784)
Sb (0.7216, 0.5000, 0.2216)
Sb (0.7505, 0.2505, 0.5000)

## Properties
Uncorrected energy, eV per atom: -4.527

Entry 23:
First-principles (PBE) data for an optimized crystal structure of RbNbBr2Cl2O, as listed in the Open Quantum Materials Database.

Unit cell a=7.0638 b=7.0638 c=7.7454 alpha=108.77 beta=108.77 gamma=33.83
Element x y z (fractional)
Rb (0.0000, 0.0000, 0.0000)
Nb (0.5678, 0.4322, 0.5000)
Br (0.3451, 0.3562, 0.1901)
Br (0.6438, 0.6549, 0.8099)
Cl (0.3697, 0.3782, 0.6546)
Cl (0.6218, 0.6303, 0.3454)
O (0.0014, 0.9986, 0.5000)

## Properties
Energy above the lowest structure with this stoichiometry, meV per atom: 0

Entry 24:
First-principles (PBE) data for an optimized crystal structure of Y3Tl2Hg, as listed in the Open Quantum Materials Database.

Unit cell a=3.7279 b=3.7279 c=11.5103 alpha=90.00 beta=90.00 gamma=90.00
Element x y z (fractional)
Y (0.0000, 0.0000, 0.0000)
Y (0.0000, 0.0000, 0.3421)
Y (0.0000, 0.0000, 0.6579)
Tl (0.5000, 0.5000, 0.1723)
Tl (0.5000, 0.5000, 0.8277)
Hg (0.5000, 0.5000, 0.5000)

## Properties
Uncorrected energy, eV per atom: -4.494